No. 1
Material: K3Cd6Sb5
Method: DFT, GGA-PBE
State: relaxed

Its total DFT energy (no corrections) is -66.2 eV per cell. Its energy relative to the elements, uncorrected is -0.263 eV per atom. The space-group type is No. 59.

Structure (CIF):
```
data_K3Cd6Sb5
_chemical_formula_sum 'K6 Cd12 Sb10'
_cell_length_a 4.776
_cell_length_b 14.893
_cell_length_c 12.255
_cell_angle_alpha 90.00
_cell_angle_beta 90.00
_cell_angle_gamma 90.00
_symmetry_space_group_name_H-M 'P 1'
_symmetry_Int_Tables_number 1
loop_
_symmetry_equiv_pos_as_xyz
'x,y,z'
loop_
_atom_site_label
_atom_site_fract_x
_atom_site_fract_y
_atom_site_fract_z
K1 0.250 0.092 0.247
K2 0.250 0.408 0.247
K3 0.250 0.750 0.248
K4 0.750 0.250 0.752
K5 0.750 0.592 0.753
K6 0.750 0.908 0.753
Cd1 0.250 0.057 0.617
Cd2 0.250 0.250 0.481
Cd3 0.250 0.250 0.989
Cd4 0.250 0.443 0.617
Cd5 0.250 0.585 0.005
Cd6 0.250 0.915 0.005
Cd7 0.750 0.085 0.995
Cd8 0.750 0.415 0.995
Cd9 0.750 0.557 0.383
Cd10 0.750 0.750 0.011
Cd11 0.750 0.750 0.519
Cd12 0.750 0.943 0.383
Sb1 0.250 0.078 0.854
Sb2 0.250 0.422 0.854
Sb3 0.250 0.619 0.509
Sb4 0.250 0.750 0.869
Sb5 0.250 0.881 0.509
Sb6 0.750 0.119 0.491
Sb7 0.750 0.250 0.131
Sb8 0.750 0.381 0.491
Sb9 0.750 0.578 0.146
Sb10 0.750 0.922 0.146
```

No. 2
Material: SrCaRu4
Method: DFT, GGA-PBE
State: relaxed

The calculation puts the formation energy at 257 meV per atom. Its total DFT energy (no corrections) is -39.2 eV per cell. The space-group type is No. 216.

Structure (CIF):
```
data_SrCaRu4
_chemical_formula_sum 'Sr1 Ca1 Ru4'
_cell_length_a 5.435
_cell_length_b 5.435
_cell_length_c 5.435
_cell_angle_alpha 60.00
_cell_angle_beta 60.00
_cell_angle_gamma 60.00
_symmetry_space_group_name_H-M 'P 1'
_symmetry_Int_Tables_number 1
loop_
_symmetry_equiv_pos_as_xyz
'x,y,z'
loop_
_atom_site_label
_atom_site_fract_x
_atom_site_fract_y
_atom_site_fract_z
Sr1 0.000 0.000 0.000
Ca1 0.750 0.750 0.750
Ru1 0.375 0.375 0.375
Ru2 0.375 0.375 0.874
Ru3 0.375 0.874 0.375
Ru4 0.874 0.375 0.375
```